Below is BaNaCaMnO6 after structural relaxation, with properties calculated at the GGA+U level.

Computed properties:
VASP energy in eV/atom: -5.87
M_tot in μB/cell: 24.0

The structure in CIF format:
```
data_BaNaCaMnO6
_chemical_formula_sum 'Ba4 Na4 Ca4 Mn4 O24'
_cell_length_a 8.358
_cell_length_b 8.358
_cell_length_c 8.358
_cell_angle_alpha 90.00
_cell_angle_beta 90.00
_cell_angle_gamma 90.00
_space_group_name_H-M_alt 'F -4 3 m'
_space_group_IT_number 216
_space_group_name_Hall 'F -4 2 3'
loop_
_atom_site_label
_atom_site_type_symbol
_atom_site_fract_x
_atom_site_fract_y
_atom_site_fract_z
_atom_site_occupancy
Ba1 Ba 0.000 0.000 0.000 1
Na1 Na 0.000 0.000 0.500 1
Ca1 Ca 0.250 0.250 0.250 1
Mn1 Mn 0.250 0.250 0.750 1
O1 O 0.024 0.250 0.750 1
```